No. 1
Entry from the Alexandria database: an optimized crystal structure of FeSnF2 (PBE+U).

Properties
Distance to the lowest polymorph of the same formula ... 0.0759 eV per atom
DOS(E_F) ... 0.819 states/eV/cell
Total magnetization ... 0.9974 μB/atom
Raw total energy ... -4.68 eV/atom

```
data_FeSnF2
_chemical_formula_sum 'Fe2 Sn2 F4'
_cell_length_a 5.752
_cell_length_b 5.752
_cell_length_c 6.433
_cell_angle_alpha 63.44
_cell_angle_beta 63.44
_cell_angle_gamma 90.00
_space_group_name_H-M_alt 'P 1'
_space_group_IT_number 1
loop_
_space_group_symop_operation_xyz
'x,y,z'
loop_
_atom_site_label
_atom_site_type_symbol
_atom_site_fract_x
_atom_site_fract_y
_atom_site_fract_z
Sn1 Sn 0.000 0.000 0.000
F1 F 0.467 0.125 0.250
F2 F 0.875 0.717 0.750
Sn2 Sn 0.750 0.250 0.500
Fe1 Fe 0.500 0.500 0.000
F3 F 0.375 0.533 0.750
Fe2 Fe 0.250 0.750 0.500
F4 F 0.283 0.625 0.250
```

---

No. 2
Entry from the Alexandria database: an optimized crystal structure of FeSnF3 (PBE+U).

Properties
Distance to the lowest polymorph of the same formula ... 0.0000 eV per atom
DOS(E_F) ... 6.316 states/eV/cell
Total magnetization ... 0.7799 μB/atom
Raw total energy ... -4.58 eV/atom

```
data_FeSnF3
_chemical_formula_sum 'Fe1 Sn1 F3'
_cell_length_a 4.211
_cell_length_b 4.211
_cell_length_c 4.211
_cell_angle_alpha 90.00
_cell_angle_beta 90.00
_cell_angle_gamma 90.00
_space_group_name_H-M_alt 'P 1'
_space_group_IT_number 1
loop_
_space_group_symop_operation_xyz
'x,y,z'
loop_
_atom_site_label
_atom_site_type_symbol
_atom_site_fract_x
_atom_site_fract_y
_atom_site_fract_z
Sn1 Sn 0.500 0.500 0.500
Fe1 Fe 0.000 0.000 0.000
F1 F 0.500 0.000 0.000
F2 F 0.000 0.500 0.000
F3 F 0.000 0.000 0.500
```

---

No. 3
Entry from the Alexandria database: an optimized crystal structure of Fe3SnF (PBE+U).

Properties
Distance to the lowest polymorph of the same formula ... 0.4975 eV per atom
DOS(E_F) ... 7.000 states/eV/cell
Total magnetization ... 2.2000 μB/atom
Raw total energy ... -3.74 eV/atom

```
data_Fe3SnF
_chemical_formula_sum 'Fe3 Sn1 F1'
_cell_length_a 5.095
_cell_length_b 5.095
_cell_length_c 5.095
_cell_angle_alpha 90.00
_cell_angle_beta 90.00
_cell_angle_gamma 90.00
_space_group_name_H-M_alt 'P 1'
_space_group_IT_number 1
loop_
_space_group_symop_operation_xyz
'x,y,z'
loop_
_atom_site_label
_atom_site_type_symbol
_atom_site_fract_x
_atom_site_fract_y
_atom_site_fract_z
Fe1 Fe 0.500 0.000 0.000
Fe2 Fe 0.000 0.500 0.000
Sn1 Sn 0.000 0.000 0.000
F1 F 0.500 0.500 0.500
Fe3 Fe 0.000 0.000 0.500
```

---

No. 4
Entry from the Alexandria database: an optimized crystal structure of FeSnF2 (PBE+U).

Properties
Distance to the lowest polymorph of the same formula ... 0.4754 eV per atom
DOS(E_F) ... 1.323 states/eV/cell
Total magnetization ... 0.9484 μB/atom
Raw total energy ... -4.28 eV/atom

```
data_FeSnF2
_chemical_formula_sum 'Fe1 Sn1 F2'
_cell_length_a 4.417
_cell_length_b 4.417
_cell_length_c 4.417
_cell_angle_alpha 60.00
_cell_angle_beta 60.00
_cell_angle_gamma 60.00
_space_group_name_H-M_alt 'P 1'
_space_group_IT_number 1
loop_
_space_group_symop_operation_xyz
'x,y,z'
loop_
_atom_site_label
_atom_site_type_symbol
_atom_site_fract_x
_atom_site_fract_y
_atom_site_fract_z
F1 F 0.750 0.750 0.750
Sn1 Sn 0.500 0.500 0.500
Fe1 Fe 0.000 0.000 0.000
F2 F 0.250 0.250 0.250
```

---

No. 5
Entry from the Alexandria database: an optimized crystal structure of Fe6Sn4F19 (PBE+U).

Properties
DOS(E_F) ... 3.450 states/eV/cell
Total magnetization ... 0.7964 μB/atom
Raw total energy ... -5.18 eV/atom

```
data_Fe6Sn4F19
_chemical_formula_sum 'Fe6 Sn4 F19'
_cell_length_a 8.317
_cell_length_b 8.317
_cell_length_c 8.317
_cell_angle_alpha 109.47
_cell_angle_beta 109.47
_cell_angle_gamma 109.47
_space_group_name_H-M_alt 'P 1'
_space_group_IT_number 1
loop_
_space_group_symop_operation_xyz
'x,y,z'
loop_
_atom_site_label
_atom_site_type_symbol
_atom_site_fract_x
_atom_site_fract_y
_atom_site_fract_z
F1 F 0.656 0.656 0.000
F2 F 0.000 0.344 0.344
Fe1 Fe 0.661 0.500 0.161
F3 F 0.701 0.032 0.312
F4 F 0.344 0.344 0.000
F5 F 0.720 0.389 0.688
F6 F 0.299 0.611 0.331
F7 F 0.000 0.656 0.656
F8 F 0.032 0.312 0.701
F9 F 0.389 0.688 0.720
F10 F 0.968 0.669 0.280
Fe2 Fe 0.339 0.500 0.839
Sn1 Sn 0.000 0.693 0.000
Fe3 Fe 0.839 0.339 0.500
F11 F 0.344 0.000 0.344
F12 F 0.611 0.331 0.299
F13 F 0.688 0.720 0.389
F14 F 0.656 0.000 0.656
Fe4 Fe 0.161 0.661 0.500
Sn2 Sn 0.000 0.000 0.693
F15 F 0.312 0.701 0.032
F16 F 0.280 0.968 0.669
Fe5 Fe 0.500 0.839 0.339
Sn3 Sn 0.693 0.000 0.000
Sn4 Sn 0.307 0.307 0.307
Fe6 Fe 0.500 0.161 0.661
F17 F 0.669 0.280 0.968
F18 F 0.000 0.000 0.000
F19 F 0.331 0.299 0.611
```

---

No. 6
Entry from the Alexandria database: an optimized crystal structure of FeSn2F6 (PBE+U).

Properties
DOS(E_F) ... 0.000 states/eV/cell
Total magnetization ... 0.4444 μB/atom
Raw total energy ... -5.09 eV/atom

```
data_FeSn2F6
_chemical_formula_sum 'Fe2 Sn4 F12'
_cell_length_a 7.433
_cell_length_b 5.810
_cell_length_c 8.173
_cell_angle_alpha 89.56
_cell_angle_beta 90.00
_cell_angle_gamma 90.00
_space_group_name_H-M_alt 'P 1'
_space_group_IT_number 1
loop_
_space_group_symop_operation_xyz
'x,y,z'
loop_
_atom_site_label
_atom_site_type_symbol
_atom_site_fract_x
_atom_site_fract_y
_atom_site_fract_z
F1 F 0.113 0.075 0.269
F2 F 0.613 0.425 0.231
Sn1 Sn 0.609 0.009 0.764
F3 F 0.800 0.810 0.390
F4 F 0.363 0.179 0.011
Sn2 Sn 0.891 0.509 0.264
F5 F 0.863 0.321 0.489
Fe1 Fe 0.000 0.000 0.500
F6 F 0.137 0.679 0.511
F7 F 0.300 0.690 0.110
F8 F 0.637 0.821 0.989
F9 F 0.887 0.925 0.731
Sn3 Sn 0.109 0.491 0.736
Sn4 Sn 0.391 0.991 0.236
F10 F 0.200 0.190 0.610
F11 F 0.700 0.310 0.890
F12 F 0.387 0.575 0.769
Fe2 Fe 0.500 0.500 0.000
```

---

No. 7
Entry from the Alexandria database: an optimized crystal structure of FeSnF2 (PBE+U).

Properties
Distance to the lowest polymorph of the same formula ... 0.0000 eV per atom
DOS(E_F) ... 2.564 states/eV/cell
Total magnetization ... 0.9812 μB/atom
Raw total energy ... -4.75 eV/atom

```
data_FeSnF2
_chemical_formula_sum 'Fe1 Sn1 F2'
_cell_length_a 8.938
_cell_length_b 8.938
_cell_length_c 8.938
_cell_angle_alpha 20.55
_cell_angle_beta 20.55
_cell_angle_gamma 20.55
_space_group_name_H-M_alt 'P 1'
_space_group_IT_number 1
loop_
_space_group_symop_operation_xyz
'x,y,z'
loop_
_atom_site_label
_atom_site_type_symbol
_atom_site_fract_x
_atom_site_fract_y
_atom_site_fract_z
Fe1 Fe 0.500 0.500 0.500
F1 F 0.127 0.127 0.127
Sn1 Sn 0.000 0.000 0.000
F2 F 0.873 0.873 0.873
```

---

No. 8
Entry from the Alexandria database: an optimized crystal structure of TlFeSnF6 (PBE+U).

Properties
DOS(E_F) ... 2.608 states/eV/cell
Total magnetization ... 0.5468 μB/atom
Raw total energy ... -4.80 eV/atom

```
data_TlFeSnF6
_chemical_formula_sum 'Tl1 Fe1 Sn1 F6'
_cell_length_a 5.838
_cell_length_b 5.812
_cell_length_c 5.900
_cell_angle_alpha 89.87
_cell_angle_beta 89.92
_cell_angle_gamma 60.12
_space_group_name_H-M_alt 'P 1'
_space_group_IT_number 1
loop_
_space_group_symop_operation_xyz
'x,y,z'
loop_
_atom_site_label
_atom_site_type_symbol
_atom_site_fract_x
_atom_site_fract_y
_atom_site_fract_z
F1 F 0.374 0.611 0.310
F2 F 0.620 0.377 0.697
Sn1 Sn 0.670 0.665 0.500
Tl1 Tl 0.997 0.001 0.000
F3 F 0.006 0.616 0.696
F4 F 0.374 0.016 0.690
Fe1 Fe 0.331 0.335 0.500
F5 F 0.620 0.004 0.303
F6 F 0.007 0.377 0.304
```

---

No. 9
Entry from the Alexandria database: an optimized crystal structure of Tl2FeSnF6 (PBE+U).

Properties
DOS(E_F) ... 0.000 states/eV/cell
Total magnetization ... 0.3931 μB/atom
Raw total energy ... -4.67 eV/atom

```
data_Tl2FeSnF6
_chemical_formula_sum 'Tl4 Fe2 Sn2 F12'
_cell_length_a 6.217
_cell_length_b 6.448
_cell_length_c 8.973
_cell_angle_alpha 90.00
_cell_angle_beta 90.00
_cell_angle_gamma 90.00
_space_group_name_H-M_alt 'P 1'
_space_group_IT_number 1
loop_
_space_group_symop_operation_xyz
'x,y,z'
loop_
_atom_site_label
_atom_site_type_symbol
_atom_site_fract_x
_atom_site_fract_y
_atom_site_fract_z
Tl1 Tl 0.500 0.770 0.759
Sn1 Sn 0.000 0.734 0.500
Fe1 Fe 0.500 0.234 0.500
Fe2 Fe 0.000 0.766 0.000
F1 F 0.000 0.793 0.761
Tl2 Tl 0.000 0.230 0.259
Tl3 Tl 0.500 0.770 0.241
F2 F 0.000 0.793 0.239
F3 F 0.738 0.998 0.500
Tl4 Tl 0.000 0.230 0.741
F4 F 0.733 0.463 0.500
Sn2 Sn 0.500 0.266 0.000
F5 F 0.500 0.207 0.261
F6 F 0.238 0.002 0.000
F7 F 0.262 0.998 0.500
F8 F 0.500 0.207 0.739
F9 F 0.267 0.463 0.500
F10 F 0.233 0.537 0.000
F11 F 0.762 0.002 0.000
F12 F 0.767 0.537 0.000
```

---

No. 10
Entry from the Alexandria database: an optimized crystal structure of Tl3Fe2SnF9 (PBE+U).

Properties
DOS(E_F) ... 0.000 states/eV/cell
Total magnetization ... 0.5340 μB/atom
Raw total energy ... -4.75 eV/atom

```
data_Tl3Fe2SnF9
_chemical_formula_sum 'Tl3 Fe2 Sn1 F9'
_cell_length_a 6.225
_cell_length_b 6.225
_cell_length_c 7.658
_cell_angle_alpha 90.00
_cell_angle_beta 90.00
_cell_angle_gamma 120.00
_space_group_name_H-M_alt 'P 1'
_space_group_IT_number 1
loop_
_space_group_symop_operation_xyz
'x,y,z'
loop_
_atom_site_label
_atom_site_type_symbol
_atom_site_fract_x
_atom_site_fract_y
_atom_site_fract_z
Fe1 Fe 0.667 0.333 0.846
Sn1 Sn 0.000 0.000 0.500
F1 F 0.500 0.000 0.000
F2 F 0.827 0.653 0.694
Tl1 Tl 0.667 0.333 0.305
Fe2 Fe 0.333 0.667 0.154
F3 F 0.000 0.500 0.000
F4 F 0.173 0.347 0.306
F5 F 0.500 0.500 0.000
F6 F 0.653 0.827 0.306
F7 F 0.347 0.173 0.694
Tl2 Tl 0.000 0.000 0.000
F8 F 0.173 0.827 0.306
Tl3 Tl 0.333 0.667 0.695
F9 F 0.827 0.173 0.694
```

---

No. 11
Entry from the Alexandria database: an optimized crystal structure of Sr2FeF4 (PBE+U).

Properties
DOS(E_F) ... 1.598 states/eV/cell
Total magnetization ... 0.4239 μB/atom
Raw total energy ... -4.84 eV/atom

```
data_Sr2FeF4
_chemical_formula_sum 'Sr2 Fe1 F4'
_cell_length_a 4.247
_cell_length_b 4.247
_cell_length_c 7.566
_cell_angle_alpha 73.70
_cell_angle_beta 73.70
_cell_angle_gamma 90.00
_space_group_name_H-M_alt 'P 1'
_space_group_IT_number 1
loop_
_space_group_symop_operation_xyz
'x,y,z'
loop_
_atom_site_label
_atom_site_type_symbol
_atom_site_fract_x
_atom_site_fract_y
_atom_site_fract_z
F1 F 0.808 0.808 0.384
F2 F 0.500 0.000 0.000
Sr1 Sr 0.639 0.639 0.722
F3 F 0.192 0.192 0.616
Sr2 Sr 0.361 0.361 0.278
Fe1 Fe 0.000 0.000 0.000
F4 F 0.000 0.500 0.000
```

---

No. 12
Entry from the Alexandria database: an optimized crystal structure of SrFeF2 (PBE+U).

Properties
Distance to the lowest polymorph of the same formula ... 0.2484 eV per atom
DOS(E_F) ... 1.864 states/eV/cell
Total magnetization ... 0.8002 μB/atom
Raw total energy ... -4.62 eV/atom

```
data_SrFeF2
_chemical_formula_sum 'Sr2 Fe2 F4'
_cell_length_a 5.238
_cell_length_b 5.238
_cell_length_c 7.392
_cell_angle_alpha 69.25
_cell_angle_beta 69.25
_cell_angle_gamma 90.00
_space_group_name_H-M_alt 'P 1'
_space_group_IT_number 1
loop_
_space_group_symop_operation_xyz
'x,y,z'
loop_
_atom_site_label
_atom_site_type_symbol
_atom_site_fract_x
_atom_site_fract_y
_atom_site_fract_z
Fe1 Fe 0.250 0.750 0.500
Sr1 Sr 0.750 0.250 0.500
F1 F 0.100 0.625 0.250
Sr2 Sr 0.000 0.000 0.000
Fe2 Fe 0.500 0.500 0.000
F2 F 0.875 0.900 0.750
F3 F 0.375 0.350 0.750
F4 F 0.650 0.125 0.250
```